# 1
Here is Y2RuC after structural relaxation from Alexandria. Energies are from PBE.

Output
VASP energy in eV/cell: -59.55
Calculated formation energy in kJ per mole of atoms: 39.9

The structure in extended XYZ format:
```
8
Lattice="-3.474 3.474 3.303 3.474 -3.474 3.303 3.474 3.474 -3.303" Properties=species:S:1:pos:R:3 pbc="T T T"
Y 1.737 1.389 -0.826
Y 2.085 -1.737 4.129
Y 1.737 2.085 2.477
Y 1.389 5.210 0.826
Ru 3.474 0.000 1.652
Ru 0.000 0.000 3.303
C 0.000 0.000 0.000
C 0.000 3.474 1.652
```



# 2
Here is PuTi2Pd after structural relaxation from Alexandria. Energies are from PBE.

Output
VASP energy in eV/cell: -36.07
Calculated formation energy in kJ per mole of atoms: -18.2

The structure in extended XYZ format:
```
4
Lattice="4.773 0.000 0.000 0.000 4.773 0.000 0.000 0.000 3.027" Properties=species:S:1:pos:R:3 pbc="T T T"
Pu 0.000 0.000 0.000
Ti 0.000 2.387 1.514
Ti 2.387 0.000 1.514
Pd 2.387 2.387 0.000
```



# 3
Here is LiSi2Pt after structural relaxation from Alexandria. Energies are from PBE.

Output
VASP energy in eV/cell: -20.37
Raw formation energy in eV per atom: -0.391

The structure in extended XYZ format:
```
4
Lattice="2.810 0.000 0.000 0.000 4.166 0.000 0.000 0.000 5.041" Properties=species:S:1:pos:R:3 pbc="T T T"
Li 0.000 0.000 0.000
Si 1.405 2.083 1.207
Si 1.405 2.083 3.833
Pt 1.405 0.000 2.520
```



# 4
Here is BeGa after structural relaxation from Alexandria. Energies are from PBE.

Output
VASP energy in eV/cell: -37.89
Calculated formation energy in kJ per mole of atoms: 21.1

The structure in extended XYZ format:
```
12
Lattice="3.871 0.000 0.000 0.000 9.445 0.000 0.000 0.000 4.542" Properties=species:S:1:pos:R:3 pbc="T T T"
Be 0.968 0.250 0.529
Be 0.968 2.361 1.471
Be 0.968 4.472 0.529
Be 2.903 4.972 4.013
Be 2.903 7.084 3.071
Be 2.903 9.195 4.013
Ga 0.968 2.361 3.739
Ga 0.968 5.617 2.842
Ga 0.968 8.550 2.842
Ga 2.903 0.895 1.700
Ga 2.903 3.828 1.700
Ga 2.903 7.084 0.802
```



# 5
Here is Pm2Pr2As5 after structural relaxation from Alexandria. Energies are from PBE.

Output
VASP energy in eV/cell: -105.50
Calculated formation energy in kJ per mole of atoms: -111.9

The structure in extended XYZ format:
```
18
Lattice="7.804 -3.883 0.000 7.804 3.883 0.000 0.000 0.000 7.860" Properties=species:S:1:pos:R:3 pbc="T T T"
Pm 2.925 0.000 0.000
Pm 4.879 0.000 3.930
Pm 10.729 0.000 3.930
Pm 12.684 0.000 0.000
Pr 7.804 2.580 5.263
Pr 7.804 1.303 1.333
Pr 7.804 -1.303 6.528
Pr 7.804 -2.580 2.598
As 0.000 0.000 0.000
As 2.200 0.949 4.890
As 5.605 0.949 6.901
As 2.200 -0.949 2.970
As 5.605 -0.949 0.960
As 7.804 0.000 3.930
As 10.004 0.949 6.901
As 13.409 0.949 4.890
As 10.004 -0.949 0.960
As 13.409 -0.949 2.970
```



# 6
Here is ErMgSc5 after structural relaxation from Alexandria. Energies are from PBE.

Output
VASP energy in eV/cell: -36.27
Calculated formation energy in kJ per mole of atoms: 21.3

The structure in extended XYZ format:
```
7
Lattice="4.681 0.000 0.000 0.000 4.681 0.000 0.000 0.000 8.621" Properties=species:S:1:pos:R:3 pbc="T T T"
Er 0.000 0.000 0.000
Mg 2.341 2.341 4.310
Sc 0.000 2.341 2.307
Sc 0.000 2.341 6.314
Sc 2.341 0.000 2.307
Sc 2.341 0.000 6.314
Sc 2.341 2.341 0.000
```



# 7
Here is Ta2AsAuCl after structural relaxation from Alexandria. Energies are from PBE.

Output
VASP energy in eV/cell: -27.33
Raw formation energy in eV per atom: 1.230

The structure in extended XYZ format:
```
5
Lattice="4.531 0.000 0.000 0.000 4.531 0.000 0.000 0.000 4.962" Properties=species:S:1:pos:R:3 pbc="T T T"
Ta 0.000 2.265 0.000
Ta 2.265 0.000 0.000
As 0.000 0.000 2.481
Au 2.265 2.265 2.481
Cl 2.265 2.265 0.000
```



# 8
Here is Mg2TlPb after structural relaxation from Alexandria. Energies are from PBE.

Output
VASP energy in eV/cell: -9.19
Calculated formation energy in kJ per mole of atoms: 1.8

The structure in extended XYZ format:
```
4
Lattice="1.676 0.968 11.087 -1.676 0.968 11.087 0.000 -1.935 11.087" Properties=species:S:1:pos:R:3 pbc="T T T"
Mg 0.000 0.000 0.000
Mg 0.000 0.000 8.473
Tl 0.000 0.000 16.974
Pb 0.000 0.000 24.906
```



Q: What is the VASP energy in the eighth record?
A: -9.19 eV/cell



Q: Which value of VASP energy does entry 7 give?
A: -27.33 eV/cell